(1)
Compound: MoBrCl5
Source: the Alexandria database
Functional: PBE
Structure: optimized geometry

The structure in CIF format:
```
data_MoBrCl5
_symmetry_space_group_name_H-M 'P -1'
_symmetry_Int_Tables_number 2
_symmetry_space_group_name_Hall '-P 1'
_cell_length_a 5.824
_cell_length_b 9.232
_cell_length_c 11.097
_cell_angle_alpha 65.54
_cell_angle_beta 88.12
_cell_angle_gamma 77.58
loop_
_atom_site_label
_atom_site_type_symbol
_atom_site_fract_x
_atom_site_fract_y
_atom_site_fract_z
Mo1 Mo 0.000 0.000 0.000
Mo2 Mo 0.500 0.000 0.000
Br1 Br 0.248 0.293 0.383
Cl1 Cl 0.108 0.884 0.546
Cl2 Cl 0.174 0.240 0.903
Cl3 Cl 0.272 0.900 0.195
Cl4 Cl 0.304 0.861 0.902
Cl5 Cl 0.455 0.583 0.666
```

(2)
Compound: MoBr3Cl3
Source: the Alexandria database
Functional: PBE
Structure: optimized geometry

The structure in CIF format:
```
data_MoBr3Cl3
_symmetry_space_group_name_H-M 'R 3 m'
_symmetry_Int_Tables_number 160
_symmetry_space_group_name_Hall 'R 3 -2"'
_cell_length_a 11.4905
_cell_length_b 11.4905
_cell_length_c 6.9306
_cell_angle_alpha 90.00
_cell_angle_beta 90.00
_cell_angle_gamma 120.00
loop_
_atom_site_label
_atom_site_type_symbol
_atom_site_fract_x
_atom_site_fract_y
_atom_site_fract_z
Mo1 Mo 0.0000 0.0000 0.0000
Br1 Br 0.1919 0.0959 0.2327
Cl1 Cl 0.1800 0.0900 0.7877
```

(3)
Compound: MoBrCl
Source: the Alexandria database
Functional: PBE
Structure: optimized geometry

Results
* E above lowest polymorph: 57.79 kJ per mole of atoms

The structure in CIF format:
```
data_MoBrCl
_symmetry_space_group_name_H-M 'F m m 2'
_symmetry_Int_Tables_number 42
_symmetry_space_group_name_Hall 'F 2 -2'
_cell_length_a 3.150
_cell_length_b 6.193
_cell_length_c 15.516
_cell_angle_alpha 90.00
_cell_angle_beta 90.00
_cell_angle_gamma 90.00
loop_
_atom_site_label
_atom_site_type_symbol
_atom_site_fract_x
_atom_site_fract_y
_atom_site_fract_z
Mo1 Mo 0.000 0.000 0.000
Br1 Br 0.000 0.000 0.369
Cl1 Cl 0.000 0.000 0.621
```

(4)
Compound: MoBr2Cl
Source: the Alexandria database
Functional: PBE
Structure: optimized geometry

Results
* E above lowest polymorph: 29.31 kJ per mole of atoms

The structure in CIF format:
```
data_MoBr2Cl
_symmetry_space_group_name_H-M 'I m m 2'
_symmetry_Int_Tables_number 44
_symmetry_space_group_name_Hall 'I 2 -2'
_cell_length_a 3.207
_cell_length_b 5.116
_cell_length_c 13.988
_cell_angle_alpha 90.00
_cell_angle_beta 90.00
_cell_angle_gamma 90.00
loop_
_atom_site_label
_atom_site_type_symbol
_atom_site_fract_x
_atom_site_fract_y
_atom_site_fract_z
Mo1 Mo 0.000 0.000 0.000
Br1 Br 0.000 0.000 0.498
Br2 Br 0.000 0.500 0.648
Cl1 Cl 0.000 0.500 0.363
```

(5)
Compound: MoBrCl
Source: the Alexandria database
Functional: PBE
Structure: optimized geometry

Results
* E above lowest polymorph: 149.58 kJ per mole of atoms

The structure in CIF format:
```
data_MoBrCl
_symmetry_space_group_name_H-M 'F -4 3 m'
_symmetry_Int_Tables_number 216
_symmetry_space_group_name_Hall 'F -4 2 3'
_cell_length_a 6.825
_cell_length_b 6.825
_cell_length_c 6.825
_cell_angle_alpha 90.00
_cell_angle_beta 90.00
_cell_angle_gamma 90.00
loop_
_atom_site_label
_atom_site_type_symbol
_atom_site_fract_x
_atom_site_fract_y
_atom_site_fract_z
Mo1 Mo 0.000 0.000 0.000
Br1 Br 0.250 0.250 0.250
Cl1 Cl 0.000 0.000 0.500
```

(6)
Compound: MoBrCl3
Source: the Alexandria database
Functional: PBE
Structure: optimized geometry

Results
* E above lowest polymorph: 1.78 kJ per mole of atoms

The structure in CIF format:
```
data_MoBrCl3
_symmetry_space_group_name_H-M 'I m m a'
_symmetry_Int_Tables_number 74
_symmetry_space_group_name_Hall '-I 2b 2'
_cell_length_a 6.686
_cell_length_b 10.430
_cell_length_c 8.700
_cell_angle_alpha 90.00
_cell_angle_beta 90.00
_cell_angle_gamma 90.00
loop_
_atom_site_label
_atom_site_type_symbol
_atom_site_fract_x
_atom_site_fract_y
_atom_site_fract_z
Mo1 Mo 0.250 0.250 0.250
Br1 Br 0.000 0.250 0.021
Cl1 Cl 0.000 0.250 0.455
Cl2 Cl 0.250 0.029 0.250
```

no.,E_form (uncorrected) (eV/atom),electronic total energy (eV per atom)
1,-0.49,-3.59
2,-0.47,-3.53
3,-0.03,-4.81
4,-0.20,-4.21
5,0.92,-3.86
6,-0.70,-4.31